VASP calculation (GGA-PBE) on crystalline MgFe at its relaxed geometry.

## Properties
The value obtained for the volume is 15.72 A^3/atom. For the size of the total moment, the calculation gives 1.18 μB per atom. The formation enthalpy at 0 K comes out at 0.191 eV/atom. The total energy comes out at -38.70 eV per cell.

Cell and atoms, written as CIF:
```
data_MgFe
_cell_length_a 10.1745
_cell_length_b 3.0141
_cell_length_c 4.5905
_cell_angle_alpha 90.00
_cell_angle_beta 116.70
_cell_angle_gamma 90.00
_symmetry_space_group_name_H-M 'C 1 2/m 1'
_symmetry_Int_Tables_number 12
_symmetry_space_group_name_Hall '-C 2y'
loop_
_atom_site_label
_atom_site_fract_x
_atom_site_fract_y
_atom_site_fract_z
_atom_site_occupancy
Mg1 0.1088 0.0000 0.3583 1
Fe1 0.1533 0.5000 0.9028 1
```

VASP calculation (GGA-PBE) on crystalline La2In2Rh at its relaxed geometry.

## Properties
The value obtained for the volume is 26.85 A^3/atom. For the size of the total moment, the calculation gives 0.00 μB per atom. The value obtained for the energy above the most stable polymorph in this dataset is 0.0 meV/atom. The formation enthalpy at 0 K comes out at -0.388 eV/atom. The total energy comes out at -49.24 eV per cell.

Cell and atoms, written as CIF:
```
data_La2In2Rh
_cell_length_a 7.3362
_cell_length_b 7.3362
_cell_length_c 4.9884
_cell_angle_alpha 90.00
_cell_angle_beta 90.00
_cell_angle_gamma 90.00
_symmetry_space_group_name_H-M 'P 4/m b m'
_symmetry_Int_Tables_number 127
_symmetry_space_group_name_Hall '-P 4 2ab'
loop_
_atom_site_label
_atom_site_fract_x
_atom_site_fract_y
_atom_site_fract_z
_atom_site_occupancy
La1 0.1623 0.3377 0.0000 1
In1 0.1463 0.6463 0.5000 1
Rh1 0.0000 0.0000 0.5000 1
```

VASP calculation (GGA-PBE) on crystalline La5DyEr6 at its relaxed geometry.

## Properties
The value obtained for the volume is 33.28 A^3/atom. For the size of the total moment, the calculation gives 0.00 μB per atom. The formation enthalpy at 0 K comes out at 0.029 eV/atom. The total energy comes out at -112.54 eV per cell.

Cell and atoms, written as CIF:
```
data_La5DyEr6
_cell_length_a 17.7033
_cell_length_b 7.3410
_cell_length_c 6.1533
_cell_angle_alpha 90.00
_cell_angle_beta 92.65
_cell_angle_gamma 90.00
_symmetry_space_group_name_H-M 'C 1 2/m 1'
_symmetry_Int_Tables_number 12
_symmetry_space_group_name_Hall '-C 2y'
loop_
_atom_site_label
_atom_site_fract_x
_atom_site_fract_y
_atom_site_fract_z
_atom_site_occupancy
La1 0.0000 0.0000 0.0000 1
La2 0.1644 0.5000 0.6694 1
La3 0.1670 0.0000 0.6668 1
Dy1 0.0000 0.5000 0.0000 1
Er1 0.0000 0.2515 0.5000 1
Er2 0.1656 0.2507 0.1686 1
```